[1]
# Sm2HoN

A geometry-optimized Sm2HoN structure (PBE, Alexandria via LeMat-Bulk).

Results
**V**: 309.6 Å³ per cell
**Uncorrected formation energy**: -2.32 eV/f.u.

a = 3.5329 Å, b = 3.5329 Å, c = 28.6410 Å
α = 90.00°, β = 90.00°, γ = 120.00°
Space group R-3m (No. 166, hexagonal axes)
Inequivalent atoms, fractional coordinates:
Sm1 0.0000 0.0000 0.1192 [6 per cell]
Ho1 0.0000 0.0000 0.0000 [3 per cell]
N1 0.0000 0.0000 0.5000 [3 per cell]

=====

[2]
# CsGe2Au4

A geometry-optimized CsGe2Au4 structure (PBE, Alexandria via LeMat-Bulk).

Results
**V**: 691.3 Å³ per cell
**Energy of formation**: -0.8 eV/f.u.
**Energy above the lowest structure with this stoichiometry**: 0.0000 eV/atom

a = 4.274 Å, b = 13.082 Å, c = 12.365 Å
α = 90.00°, β = 90.00°, γ = 90.00°
Space group Cmcm (No. 63)
Inequivalent atoms, fractional coordinates:
Cs1 0.000 0.078 0.250 [4 per cell]
Ge1 0.000 0.375 0.029 [8 per cell]
Au1 0.000 0.000 0.000 [4 per cell]
Au2 0.000 0.223 0.608 [8 per cell]
Au3 0.000 0.341 0.250 [4 per cell]

=====

[3]
# Ca2AlSiAu6

A geometry-optimized Ca2AlSiAu6 structure (PBE, Alexandria via LeMat-Bulk).

Results
**V**: 220.8 Å³ per cell
**Uncorrected formation energy**: -4.74 eV/f.u.

a = 5.691 Å, b = 6.771 Å, c = 6.947 Å
α = 84.59°, β = 65.88°, γ = 65.17°
Space group P-1 (No. 2)
Inequivalent atoms, fractional coordinates:
Ca1 0.034 0.223 0.210 [2 per cell]
Al1 0.500 0.500 0.000 [1 per cell]
Si1 0.500 0.000 0.500 [1 per cell]
Au1 0.004 0.235 0.756 [2 per cell]
Au2 0.375 0.377 0.377 [2 per cell]
Au3 0.495 0.767 0.242 [2 per cell]

=====

[4]
# AcFeIr

A geometry-optimized AcFeIr structure (PBE, Alexandria via LeMat-Bulk).

Results
**V**: 260.2 Å³ per cell
**Energy of formation**: -0.5 eV/f.u.
**Energy above the lowest structure with this stoichiometry**: 0.1196 eV/atom

a = 4.255 Å, b = 11.155 Å, c = 5.481 Å
α = 90.00°, β = 90.00°, γ = 90.00°
Space group Cmcm (No. 63)
Inequivalent atoms, fractional coordinates:
Ac1 0.000 0.203 0.250 [4 per cell]
Fe1 0.000 0.500 0.000 [4 per cell]
Ir1 0.000 0.064 0.750 [4 per cell]

=====

[5]
# Ni3OsPt

A geometry-optimized Ni3OsPt structure (PBE, Alexandria via LeMat-Bulk).

Results
**V**: 86.6 Å³ per cell
**Energy of formation**: 7.3 eV/f.u.
**Energy above the lowest structure with this stoichiometry**: 0.0000 eV/atom

a = 4.425 Å, b = 4.425 Å, c = 4.425 Å
α = 90.00°, β = 90.00°, γ = 90.00°
Space group Pm-3m (No. 221)
Inequivalent atoms, fractional coordinates:
Ni1 0.000 0.000 0.500 [3 per cell]
Os1 0.000 0.000 0.000 [1 per cell]
Pt1 0.500 0.500 0.500 [1 per cell]

=====

[6]
# Tb5ScAl4

A geometry-optimized Tb5ScAl4 structure (PBE, Alexandria via LeMat-Bulk).

Results
**V**: 246.7 Å³ per cell
**Energy of formation**: -3.1 eV/f.u.

a = 3.601 Å, b = 3.601 Å, c = 19.029 Å
α = 90.00°, β = 90.00°, γ = 90.00°
Space group P4/mmm (No. 123)
Inequivalent atoms, fractional coordinates:
Tb1 0.000 0.000 0.000 [1 per cell]
Tb2 0.000 0.000 0.192 [2 per cell]
Tb3 0.000 0.000 0.384 [2 per cell]
Sc1 0.500 0.500 0.500 [1 per cell]
Al1 0.500 0.500 0.096 [2 per cell]
Al2 0.500 0.500 0.289 [2 per cell]